Record 1
A relaxed structure of HoCd5In4, computed with PBE.

POSCAR file:
```
HoCd5In4
1.0
-4.838 -0.498 -1.496
-4.375 -1.593 6.023
-3.488 6.756 0.379
Ho Cd In
1 5 4
Direct
0.750 0.000 0.000
0.575 0.441 0.909
0.575 0.909 0.441
0.750 0.500 0.500
0.925 0.091 0.559
0.925 0.559 0.091
0.082 0.668 0.668
0.250 0.808 0.192
0.250 0.192 0.808
0.418 0.332 0.332
```

crystal system	orthorhombic
formation enthalpy at 0 K	-0.006	eV per atom
space-group type	Immm, No. 71
final energy	-2.016	eV/atom



Record 2
A relaxed structure of Lu2SnTe, computed with PBE.

POSCAR file:
```
Lu2SnTe
1.0
3.625 0.000 0.000
0.000 3.625 0.000
0.000 0.000 7.927
Lu Te Sn
2 1 1
Direct
0.000 0.000 0.742
0.000 0.000 0.258
0.500 0.500 0.500
0.500 0.500 0.000
```

crystal system	tetragonal
formation energy (no corrections)	-2.9	eV/f.u.
space-group type	P4/mmm, No. 123
final energy	-4.778	eV/atom



Record 3
A relaxed structure of Nd5Ho12Sc2, computed with PBE.

POSCAR file:
```
Nd5Ho12Sc2
1.0
-0.550 -6.200 -3.629
9.504 2.480 1.476
3.721 -4.878 7.769
Nd Ho Sc
5 12 2
Direct
0.188 0.377 0.807
0.319 0.638 0.206
0.000 0.000 0.500
0.681 0.362 0.794
0.812 0.623 0.193
0.985 0.971 0.215
0.091 0.685 0.864
0.594 0.685 0.864
0.087 0.678 0.506
0.591 0.678 0.506
0.502 0.003 0.686
0.498 0.997 0.314
0.913 0.322 0.494
0.409 0.322 0.494
0.909 0.315 0.136
0.406 0.315 0.136
0.015 0.029 0.785
0.697 0.000 0.000
0.303 0.000 0.000
```

crystal system	monoclinic
formation enthalpy at 0 K	0.176	eV per atom
space-group type	C2/m, No. 12
final energy	-4.636	eV/atom